An optimized crystal structure of SrTiVO6. Source: the Alexandria database, functional GGA+U.

abc: 5.1471 5.1471 10.6976
angles: 90.00 90.00 120.00
Space group P-31c (No. 163)
One atom of each set of equivalent atoms:
1 Sr 0.0000 0.0000 0.0000 [2 per cell]
2 Ti 0.3333 0.6667 0.2500 [2 per cell]
3 V 0.3333 0.6667 0.7500 [2 per cell]
4 O 0.0102 0.3898 0.6494 [12 per cell]

Summary:
Electronic total energy = -135.74 eV for the cell shown